[1]
# PBE-GGA HfTl2Pb, optimized geometry
data_HfTl2Pb
_chemical_formula_sum 'Hf1 Tl2 Pb1'
_cell_length_a 5.3595
_cell_length_b 5.3595
_cell_length_c 5.3595
_cell_angle_alpha 60.00
_cell_angle_beta 60.00
_cell_angle_gamma 60.00
_space_group_name_H-M_alt 'P 1'
_space_group_IT_number 1
loop_
_space_group_symop_operation_xyz
'x,y,z'
loop_
_atom_site_label
_atom_site_type_symbol
_atom_site_fract_x
_atom_site_fract_y
_atom_site_fract_z
Hf1 Hf 0.0000 0.0000 0.0000
Tl1 Tl 0.2500 0.2500 0.2500
Tl2 Tl 0.7500 0.7500 0.7500
Pb1 Pb 0.5000 0.5000 0.5000
# **Calculated density**: 12.12 g/cm³
# **Volume**: 27.215 Å³ per atom
# **Space group**: Fm-3m
# **Formation energy**: 439 meV per atom
# **Total DFT energy (no corrections)**: -4.159 eV per atom
# **Size of the total moment**: 0.00 Bohr magnetons per cell
# **Energy above the most stable polymorph in this dataset**: 102 meV per atom



[2]
# PBE-GGA RbLiHg2I6, optimized geometry
data_RbLiHg2I6
_chemical_formula_sum 'Rb1 Li1 Hg2 I6'
_cell_length_a 8.0236
_cell_length_b 8.0245
_cell_length_c 9.5752
_cell_angle_alpha 90.00
_cell_angle_beta 114.76
_cell_angle_gamma 120.01
_space_group_name_H-M_alt 'P 1'
_space_group_IT_number 1
loop_
_space_group_symop_operation_xyz
'x,y,z'
loop_
_atom_site_label
_atom_site_type_symbol
_atom_site_fract_x
_atom_site_fract_y
_atom_site_fract_z
Hg1 Hg 0.4686 0.7339 0.1883
Hg2 Hg 0.5245 0.2617 0.7722
Rb1 Rb 0.9966 0.4978 0.4803
I1 I 0.8355 0.6212 0.7578
I2 I 0.5585 0.9363 0.7582
I3 I 0.1508 0.2135 0.7580
I4 I 0.1575 0.3744 0.2026
I5 I 0.4348 0.0594 0.2022
I6 I 0.8421 0.7817 0.2023
Li1 Li 0.9968 0.9979 0.9805
# **Calculated density**: 4.46 g/cm³
# **Volume**: 46.726 Å³ per atom
# **Space group**: R-3
# **Uncorrected formation energy**: -0.69 eV/atom
# **Total DFT energy (no corrections)**: -1.972 eV per atom
# **Size of the total moment**: 0.00 Bohr magnetons per cell



[3]
# PBE-GGA AgTeCl, optimized geometry
data_AgTeCl
_chemical_formula_sum 'Ag1 Te1 Cl1'
_cell_length_a 7.4085
_cell_length_b 7.4085
_cell_length_c 7.4085
_cell_angle_alpha 154.49
_cell_angle_beta 154.49
_cell_angle_gamma 36.39
_space_group_name_H-M_alt 'P 1'
_space_group_IT_number 1
loop_
_space_group_symop_operation_xyz
'x,y,z'
loop_
_atom_site_label
_atom_site_type_symbol
_atom_site_fract_x
_atom_site_fract_y
_atom_site_fract_z
Cl1 Cl 0.6240 0.6240 0.0000
Ag1 Ag 0.0157 0.0157 0.0000
Te1 Te 0.3603 0.3603 0.0000
# **Calculated density**: 5.97 g/cm³
# **Volume**: 25.113 Å³ per atom
# **Space group**: I4mm
# **Uncorrected formation energy**: -0.04 eV/atom
# **Total DFT energy (no corrections)**: -2.657 eV per atom
# **Size of the total moment**: 0.00 Bohr magnetons per cell
# **Energy above the most stable polymorph in this dataset**: 221 meV per atom



[4]
# PBE-GGA PuTh2Si2Ru5, optimized geometry
data_PuTh2Si2Ru5
_chemical_formula_sum 'Pu2 Th4 Si4 Ru10'
_cell_length_a 3.4964
_cell_length_b 10.2033
_cell_length_c 10.2033
_cell_angle_alpha 90.00
_cell_angle_beta 90.00
_cell_angle_gamma 90.00
_space_group_name_H-M_alt 'P 1'
_space_group_IT_number 1
loop_
_space_group_symop_operation_xyz
'x,y,z'
loop_
_atom_site_label
_atom_site_type_symbol
_atom_site_fract_x
_atom_site_fract_y
_atom_site_fract_z
Ru1 Ru 0.5000 0.0697 0.7806
Ru2 Ru 0.5000 0.2806 0.5697
Ru3 Ru 0.5000 0.5697 0.7194
Ru4 Ru 0.5000 0.2194 0.0697
Ru5 Ru 0.5000 0.4303 0.2806
Ru6 Ru 0.5000 0.7194 0.4303
Ru7 Ru 0.5000 0.9303 0.2194
Ru8 Ru 0.5000 0.5000 0.0000
Ru9 Ru 0.5000 0.0000 0.5000
Ru10 Ru 0.5000 0.7806 0.9303
Th1 Th 0.0000 0.8254 0.6746
Th2 Th 0.0000 0.1746 0.3254
Th3 Th 0.0000 0.6746 0.1746
Th4 Th 0.0000 0.3254 0.8254
Si1 Si 0.0000 0.1218 0.6218
Si2 Si 0.0000 0.3782 0.1218
Si3 Si 0.0000 0.6218 0.8782
Si4 Si 0.0000 0.8782 0.3782
Pu1 Pu 0.0000 0.0000 0.0000
Pu2 Pu 0.0000 0.5000 0.5000
# **Calculated density**: 11.58 g/cm³
# **Volume**: 18.200 Å³ per atom
# **Space group**: P4/mbm
# **Uncorrected formation energy**: -0.57 eV/atom
# **Total DFT energy (no corrections)**: -9.205 eV per atom
# **Size of the total moment**: 8.87 Bohr magnetons per cell



[5]
# PBE-GGA Pr2NdHo4Mg, optimized geometry
data_Pr2NdHo4Mg
_chemical_formula_sum 'Pr2 Nd1 Ho4 Mg1'
_cell_length_a 5.0003
_cell_length_b 5.0078
_cell_length_c 11.3863
_cell_angle_alpha 63.92
_cell_angle_beta 90.00
_cell_angle_gamma 90.00
_space_group_name_H-M_alt 'P 1'
_space_group_IT_number 1
loop_
_space_group_symop_operation_xyz
'x,y,z'
loop_
_atom_site_label
_atom_site_type_symbol
_atom_site_fract_x
_atom_site_fract_y
_atom_site_fract_z
Ho1 Ho 0.0000 0.2467 0.2532
Ho2 Ho 0.5000 0.7468 0.2531
Ho3 Ho 0.0000 0.7533 0.7468
Ho4 Ho 0.5000 0.2532 0.7469
Mg1 Mg 0.0000 0.5000 0.5000
Nd1 Nd 0.5000 0.5000 0.0000
Pr1 Pr 0.5000 0.0000 0.5000
Pr2 Pr 0.0000 0.0000 0.0000
# **Calculated density**: 7.20 g/cm³
# **Volume**: 32.011 Å³ per atom
# **Space group**: P4/mmm
# **Formation energy**: 33 meV per atom
# **Total DFT energy (no corrections)**: -4.246 eV per atom
# **Size of the total moment**: 0.01 Bohr magnetons per cell



[6]
# PBE-GGA Dy4CuTe2Se, optimized geometry
data_Dy4CuTe2Se
_chemical_formula_sum 'Dy4 Cu1 Te2 Se1'
_cell_length_a 4.0909
_cell_length_b 7.3781
_cell_length_c 7.4218
_cell_angle_alpha 108.22
_cell_angle_beta 90.00
_cell_angle_gamma 90.00
_space_group_name_H-M_alt 'P 1'
_space_group_IT_number 1
loop_
_space_group_symop_operation_xyz
'x,y,z'
loop_
_atom_site_label
_atom_site_type_symbol
_atom_site_fract_x
_atom_site_fract_y
_atom_site_fract_z
Te1 Te 0.0000 0.5000 0.5000
Te2 Te 0.5000 0.0000 0.5000
Dy1 Dy 0.5000 0.2477 0.2237
Dy2 Dy 0.0000 0.7280 0.2165
Dy3 Dy 0.5000 0.7523 0.7763
Dy4 Dy 0.0000 0.2720 0.7835
Cu1 Cu 0.5000 0.5000 0.0000
Se1 Se 0.0000 0.0000 0.0000
# **Calculated density**: 8.18 g/cm³
# **Volume**: 26.598 Å³ per atom
# **Space group**: P2/m
# **Uncorrected formation energy**: -1.15 eV/atom
# **Total DFT energy (no corrections)**: -5.185 eV per atom
# **Size of the total moment**: 0.00 Bohr magnetons per cell



[7]
# PBE-GGA Y2AgPdC, optimized geometry
data_Y2AgPdC
_chemical_formula_sum 'Y2 Ag1 Pd1 C1'
_cell_length_a 5.5084
_cell_length_b 3.8452
_cell_length_c 5.5084
_cell_angle_alpha 90.00
_cell_angle_beta 90.00
_cell_angle_gamma 90.00
_space_group_name_H-M_alt 'P 1'
_space_group_IT_number 1
loop_
_space_group_symop_operation_xyz
'x,y,z'
loop_
_atom_site_label
_atom_site_type_symbol
_atom_site_fract_x
_atom_site_fract_y
_atom_site_fract_z
C1 C 0.0000 0.5000 0.0000
Y1 Y 0.0000 0.0000 0.5000
Y2 Y 0.5000 0.0000 0.0000
Pd1 Pd 0.0000 0.0000 0.0000
Ag1 Ag 0.5000 0.5000 0.5000
# **Calculated density**: 5.75 g/cm³
# **Volume**: 23.335 Å³ per atom
# **Space group**: P4/mmm
# **Formation energy**: 328 meV per atom
# **Total DFT energy (no corrections)**: -5.711 eV per atom
# **Size of the total moment**: 0.00 Bohr magnetons per cell
# **Energy above the most stable polymorph in this dataset**: 679 meV per atom



[8]
# PBE-GGA Li2ZnPt, optimized geometry
data_Li2ZnPt
_chemical_formula_sum 'Li2 Zn1 Pt1'
_cell_length_a 9.0789
_cell_length_b 9.0789
_cell_length_c 9.0789
_cell_angle_alpha 17.44
_cell_angle_beta 17.44
_cell_angle_gamma 17.44
_space_group_name_H-M_alt 'P 1'
_space_group_IT_number 1
loop_
_space_group_symop_operation_xyz
'x,y,z'
loop_
_atom_site_label
_atom_site_type_symbol
_atom_site_fract_x
_atom_site_fract_y
_atom_site_fract_z
Li1 Li 0.5048 0.5048 0.5048
Li2 Li 0.9952 0.9952 0.9952
Pt1 Pt 0.2500 0.2500 0.2500
Zn1 Zn 0.7500 0.7500 0.7500
# **Calculated density**: 7.77 g/cm³
# **Volume**: 14.665 Å³ per atom
# **Space group**: R-3m
# **Formation energy**: -399 meV per atom
# **Total DFT energy (no corrections)**: -3.184 eV per atom
# **Size of the total moment**: 0.00 Bohr magnetons per cell



[9]
# PBE-GGA ZrCo2As, optimized geometry
data_ZrCo2As
_chemical_formula_sum 'Zr1 Co2 As1'
_cell_length_a 3.9634
_cell_length_b 3.2107
_cell_length_c 4.9787
_cell_angle_alpha 71.73
_cell_angle_beta 90.00
_cell_angle_gamma 90.00
_space_group_name_H-M_alt 'P 1'
_space_group_IT_number 1
loop_
_space_group_symop_operation_xyz
'x,y,z'
loop_
_atom_site_label
_atom_site_type_symbol
_atom_site_fract_x
_atom_site_fract_y
_atom_site_fract_z
As1 As 0.5000 0.9303 0.7587
Co1 Co 0.0000 0.8098 0.0184
Co2 Co 0.5000 0.2182 0.1913
Zr1 Zr 0.0000 0.5417 0.5316
# **Calculated density**: 7.84 g/cm³
# **Volume**: 15.040 Å³ per atom
# **Space group**: Pm
# **Formation energy**: -224 meV per atom
# **Total DFT energy (no corrections)**: -7.077 eV per atom
# **Size of the total moment**: 2.25 Bohr magnetons per cell



[10]
# PBE-GGA AuCN2, optimized geometry
data_AuCN2
_chemical_formula_sum 'Au2 C2 N4'
_cell_length_a 4.5685
_cell_length_b 4.5685
_cell_length_c 4.7520
_cell_angle_alpha 61.27
_cell_angle_beta 61.27
_cell_angle_gamma 90.00
_space_group_name_H-M_alt 'P 1'
_space_group_IT_number 1
loop_
_space_group_symop_operation_xyz
'x,y,z'
loop_
_atom_site_label
_atom_site_type_symbol
_atom_site_fract_x
_atom_site_fract_y
_atom_site_fract_z
N1 N 0.8750 0.7469 0.7500
N2 N 0.3750 0.5031 0.7500
N3 N 0.2531 0.6250 0.2500
N4 N 0.4969 0.1250 0.2500
C1 C 0.2500 0.7500 0.5000
C2 C 0.5000 0.5000 0.0000
Au1 Au 0.7500 0.2500 0.5000
Au2 Au 0.0000 0.0000 0.0000
# **Calculated density**: 10.82 g/cm³
# **Volume**: 9.092 Å³ per atom
# **Space group**: I-42d
# **Uncorrected formation energy**: 1.27 eV/atom
# **Total DFT energy (no corrections)**: -6.020 eV per atom
# **Size of the total moment**: 0.00 Bohr magnetons per cell



[11]
# PBE-GGA ZrNp2CoS5, optimized geometry
data_ZrNp2CoS5
_chemical_formula_sum 'Zr2 Np4 Co2 S10'
_cell_length_a 3.6555
_cell_length_b 8.2340
_cell_length_c 11.4521
_cell_angle_alpha 90.00
_cell_angle_beta 90.00
_cell_angle_gamma 102.83
_space_group_name_H-M_alt 'P 1'
_space_group_IT_number 1
loop_
_space_group_symop_operation_xyz
'x,y,z'
loop_
_atom_site_label
_atom_site_type_symbol
_atom_site_fract_x
_atom_site_fract_y
_atom_site_fract_z
Np1 Np 0.8950 0.7900 0.8468
Np2 Np 0.8767 0.7534 0.1971
Np3 Np 0.1050 0.2100 0.3468
Np4 Np 0.1233 0.2466 0.6971
S1 S 0.6931 0.3863 0.1869
S2 S 0.5020 0.0040 0.7512
S3 S 0.3069 0.6137 0.6869
S4 S 0.9836 0.9672 0.5187
S5 S 0.0164 0.0328 0.0187
S6 S 0.3408 0.6817 0.0188
S7 S 0.6900 0.3800 0.8605
S8 S 0.6592 0.3183 0.5188
S9 S 0.3100 0.6200 0.3605
S10 S 0.4980 0.9960 0.2512
Zr1 Zr 0.1755 0.3511 0.0215
Zr2 Zr 0.8245 0.6489 0.5215
Co1 Co 0.5599 0.1197 0.9225
Co2 Co 0.4401 0.8803 0.4225
# **Calculated density**: 7.75 g/cm³
# **Volume**: 18.672 Å³ per atom
# **Space group**: Cmc2_1
# **Uncorrected formation energy**: -1.31 eV/atom
# **Total DFT energy (no corrections)**: -8.222 eV per atom
# **Size of the total moment**: 13.82 Bohr magnetons per cell



[12]
# PBE-GGA HgIr2Br, optimized geometry
data_HgIr2Br
_chemical_formula_sum 'Hg1 Ir2 Br1'
_cell_length_a 4.8587
_cell_length_b 4.8587
_cell_length_c 4.8587
_cell_angle_alpha 127.04
_cell_angle_beta 127.04
_cell_angle_gamma 78.19
_space_group_name_H-M_alt 'P 1'
_space_group_IT_number 1
loop_
_space_group_symop_operation_xyz
'x,y,z'
loop_
_atom_site_label
_atom_site_type_symbol
_atom_site_fract_x
_atom_site_fract_y
_atom_site_fract_z
Hg1 Hg 0.7500 0.2500 0.5000
Ir1 Ir 0.0000 0.0000 0.0000
Ir2 Ir 0.5000 0.5000 0.0000
Br1 Br 0.2500 0.7500 0.5000
# **Calculated density**: 15.60 g/cm³
# **Volume**: 17.700 Å³ per atom
# **Space group**: I4/mmm
# **Uncorrected formation energy**: 1.17 eV/atom
# **Total DFT energy (no corrections)**: -3.750 eV per atom
# **Size of the total moment**: 0.00 Bohr magnetons per cell
# **Energy above the most stable polymorph in this dataset**: 752 meV per atom



What is the volume in the second record? 46.726 Å³ per atom